1.
First-principles (PBE) data for a geometry-optimized CaNbAg structure, as listed in Alexandria.

Output
The offset from the most stable computed form comes out at 125 meV per atom. As for the mass density: 5385 kg/m³.

Unit cell a=4.6191 b=5.6808 c=5.8258 alpha=76.35 beta=89.95 gamma=89.94
Last column: nearest neighbours and their distance in Å.
Positions (direct):
Ca 0.2497 0.2492 0.4230  4 Ag 3.09-3.17, 1 Nb 3.45
Ca 0.7503 0.7508 0.5770  4 Ag 3.09-3.17, 1 Nb 3.45
Nb 0.2492 0.9112 0.0025  2 Nb 2.51-2.53
Nb 0.7508 0.0888 0.9975  2 Nb 2.51-2.53
Ag 0.2504 0.4416 0.8765  2 Ag 2.88, 4 Nb 2.93-3.03, 4 Ca 3.09-3.17
Ag 0.7496 0.5584 0.1235  2 Ag 2.88, 4 Nb 2.93-3.03, 4 Ca 3.09-3.17

---

2.
First-principles (PBE) data for a geometry-optimized CaNbAg structure, as listed in Alexandria.

Output
The offset from the most stable computed form comes out at 1012 meV per atom. As for the mass density: 5375 kg/m³.

Unit cell a=4.7210 b=4.7210 c=4.7210 alpha=60.00 beta=60.00 gamma=60.00
Last column: nearest neighbours and their distance in Å.
Positions (direct):
Ca 0.0000 0.0000 0.0000  4 Nb 2.89
Nb 0.7500 0.7500 0.7500  4 Ca 2.89, 4 Ag 2.89
Ag 0.5000 0.5000 0.5000  4 Nb 2.89

---

3.
First-principles (PBE) data for a geometry-optimized CaNbAg structure, as listed in Alexandria.

Output
The offset from the most stable computed form comes out at 166 meV per atom. As for the mass density: 5465 kg/m³.

Unit cell a=6.0451 b=6.0451 c=6.0451 alpha=133.54 beta=104.06 gamma=93.91
Last column: nearest neighbours and their distance in Å.
Positions (direct):
Ca 0.0000 0.0000 0.0000  6 Ag 3.24-3.33, 6 Nb 3.50-3.60
Ca 0.6377 0.1377 0.5000  6 Nb 3.29-3.36, 4 Ag 3.37
Nb 0.2461 0.4011 0.8451  1 Nb 2.30
Nb 0.5560 0.4011 0.1549  1 Nb 2.30
Ag 0.0273 0.7208 0.3065  3 Nb 2.82-2.87, 1 Ag 2.88
Ag 0.4143 0.7208 0.6935  3 Nb 2.82-2.87, 1 Ag 2.88

---

4.
First-principles (PBE) data for a geometry-optimized CaNbAg structure, as listed in Alexandria.

Output
The offset from the most stable computed form comes out at 41 meV per atom. As for the mass density: 5776 kg/m³.

Unit cell a=5.9019 b=5.9019 c=5.9019 alpha=115.49 beta=87.05 gamma=128.41
Last column: nearest neighbours and their distance in Å.
Positions (direct):
Ca 0.1170 0.2500 0.3670  4 Ag 3.13-3.22, 2 Nb 3.32-3.46, 2 Ca 3.43
Ca 0.8830 0.7500 0.6330  4 Ag 3.13-3.22, 2 Nb 3.32-3.46, 2 Ca 3.43
Nb 0.5028 0.9918 0.0110  2 Nb 2.58
Nb 0.9809 0.4918 0.9890  2 Nb 2.58
Ag 0.4902 0.4902 0.0000  4 Nb 2.89-3.02, 4 Ca 3.13-3.22, 2 Ag 3.15
Ag 0.4902 0.9902 0.5000  4 Nb 2.89-3.02, 4 Ca 3.13-3.22, 2 Ag 3.15

---

5.
First-principles (PBE) data for a geometry-optimized CaNbAg structure, as listed in Alexandria.

Output
The offset from the most stable computed form comes out at 719 meV per atom. As for the mass density: 5911 kg/m³.

Unit cell a=5.0836 b=5.0836 c=6.0469 alpha=90.00 beta=90.00 gamma=120.00
Last column: nearest neighbours and their distance in Å.
Positions (direct):
Ca 0.3333 0.6667 0.2500  5 Nb 2.94-3.02
Ca 0.6667 0.3333 0.7500  5 Nb 2.94-3.02
Nb 0.3333 0.6667 0.7500  5 Ca 2.94-3.02
Nb 0.6667 0.3333 0.2500  5 Ca 2.94-3.02
Ag 0.0000 0.0000 0.0000  2 Ag 3.02, 6 Nb 3.30, 6 Ca 3.30
Ag 0.0000 0.0000 0.5000  2 Ag 3.02, 6 Nb 3.30, 6 Ca 3.30

---

6.
First-principles (PBE) data for a geometry-optimized CaNbAg structure, as listed in Alexandria.

Output
The offset from the most stable computed form comes out at 1866 meV per atom. As for the mass density: 3397 kg/m³.

Unit cell a=4.7580 b=4.7580 c=12.0117 alpha=90.00 beta=90.00 gamma=120.00
Last column: nearest neighbours and their distance in Å.
Positions (direct):
Ca 0.0000 0.0000 0.2500  3 Ag 2.75, 2 Nb 3.00
Ca 0.0000 0.0000 0.7500  3 Ag 2.75, 2 Nb 3.00
Nb 0.0000 0.0000 0.0000  2 Ca 3.00
Nb 0.0000 0.0000 0.5000  2 Ca 3.00
Ag 0.3333 0.6667 0.2500  3 Ca 2.75
Ag 0.6667 0.3333 0.7500  3 Ca 2.75

---

7.
First-principles (PBE) data for a geometry-optimized CaNbAg structure, as listed in Alexandria.

Output
The offset from the most stable computed form comes out at 219 meV per atom. As for the mass density: 5344 kg/m³.

Unit cell a=4.6681 b=5.7437 c=6.2850 alpha=62.85 beta=88.48 gamma=86.65
Last column: nearest neighbours and their distance in Å.
Positions (direct):
Ca 0.0000 0.0000 0.0000  4 Ag 3.20-3.41, 4 Nb 3.24-3.53, 1 Ca 3.54
Ca 0.4954 0.4847 0.9998  4 Ag 3.20-3.42, 4 Nb 3.24-3.54, 1 Ca 3.54
Nb 0.5289 0.6365 0.4350  1 Nb 2.35
Nb 0.9666 0.4140 0.4355  1 Nb 2.35
Ag 0.0092 0.8146 0.5909  2 Ag 2.77-2.80, 3 Nb 2.89-2.90
Ag 0.4865 0.0802 0.5917  2 Ag 2.77-2.80, 3 Nb 2.89-2.90

---

8.
First-principles (PBE) data for a geometry-optimized CaNbAg structure, as listed in Alexandria.

Output
The offset from the most stable computed form comes out at 455 meV per atom. As for the mass density: 6037 kg/m³.

Unit cell a=4.8993 b=4.8993 c=6.3724 alpha=90.00 beta=90.00 gamma=120.00
Last column: nearest neighbours and their distance in Å.
Positions (direct):
Ca 0.0000 0.0000 0.0000  2 Ca 3.19, 6 Nb 3.25, 6 Ag 3.25
Ca 0.0000 0.0000 0.5000  2 Ca 3.19, 6 Ag 3.25, 6 Nb 3.25
Nb 0.3333 0.6667 0.2500  3 Ag 2.83
Nb 0.6667 0.3333 0.7500  3 Ag 2.83
Ag 0.3333 0.6667 0.7500  3 Nb 2.83
Ag 0.6667 0.3333 0.2500  3 Nb 2.83

---

9.
First-principles (PBE) data for a geometry-optimized CaNbAg3 structure, as listed in Alexandria.

Output
The offset from the most stable computed form comes out at 0 meV per atom. As for the mass density: 5457 kg/m³.

Unit cell a=5.1794 b=5.1794 c=5.1794 alpha=90.00 beta=90.00 gamma=90.00
Last column: nearest neighbours and their distance in Å.
Positions (direct):
Ca 0.0000 0.0000 0.0000  12 Ag 3.66
Nb 0.5000 0.5000 0.5000  6 Ag 2.59
Ag 0.0000 0.5000 0.5000  2 Nb 2.59
Ag 0.5000 0.0000 0.5000  2 Nb 2.59
Ag 0.5000 0.5000 0.0000  2 Nb 2.59

---

10.
First-principles (PBE) data for a geometry-optimized CaNbAg structure, as listed in Alexandria.

Output
The offset from the most stable computed form comes out at 36 meV per atom. As for the mass density: 5712 kg/m³.

Unit cell a=8.5434 b=3.4448 c=9.5160 alpha=90.00 beta=90.00 gamma=90.00
Last column: nearest neighbours and their distance in Å.
Positions (direct):
Ca 0.0773 0.2500 0.1729  5 Ag 3.03-3.19
Ca 0.4227 0.7500 0.6729  5 Ag 3.03-3.19
Ca 0.5773 0.2500 0.3271  5 Ag 3.03-3.19
Ca 0.9227 0.7500 0.8271  5 Ag 3.03-3.19
Nb 0.0958 0.2500 0.5520  2 Nb 2.57
Nb 0.4042 0.7500 0.0520  2 Nb 2.57
Nb 0.5958 0.2500 0.9480  2 Nb 2.57
Nb 0.9042 0.7500 0.4480  2 Nb 2.57
Ag 0.2237 0.2500 0.8644  3 Nb 2.92-3.17, 5 Ca 3.03-3.19
Ag 0.2763 0.7500 0.3644  3 Nb 2.92-3.17, 5 Ca 3.03-3.19
Ag 0.7237 0.2500 0.6356  3 Nb 2.92-3.17, 5 Ca 3.03-3.19
Ag 0.7763 0.7500 0.1356  3 Nb 2.92-3.17, 5 Ca 3.03-3.19

---

11.
First-principles (PBE) data for a geometry-optimized CaNbAg structure, as listed in Alexandria.

Output
The offset from the most stable computed form comes out at 143 meV per atom. As for the mass density: 5859 kg/m³.

Unit cell a=4.7133 b=5.8951 c=6.1964 alpha=63.04 beta=67.70 gamma=66.51
Last column: nearest neighbours and their distance in Å.
Positions (direct):
Ca 0.0000 0.0000 0.0000  4 Ag 3.08-3.25, 3 Ca 3.23-3.42, 5 Nb 3.23-3.44
Ca 0.3381 0.4888 0.8345  4 Ag 3.07-3.18, 3 Nb 3.07-3.37, 3 Ca 3.23-3.42
Nb 0.2929 0.0206 0.3956  2 Nb 2.53-2.54
Nb 0.7053 0.0406 0.5495  2 Nb 2.53-2.54
Ag 0.0024 0.5106 0.4835  2 Nb 2.87-3.02, 2 Ag 2.91, 3 Ca 3.07-3.08
Ag 0.6280 0.5741 0.1688  2 Ag 2.91, 2 Nb 2.93-3.12, 4 Ca 3.17-3.19

---

12.
First-principles (PBE) data for a geometry-optimized Ca2NbAg structure, as listed in Alexandria.

Output
The offset from the most stable computed form comes out at 0 meV per atom. As for the mass density: 4440 kg/m³.

Unit cell a=5.2967 b=5.2967 c=5.2967 alpha=60.00 beta=60.00 gamma=60.00
Last column: nearest neighbours and their distance in Å.
Positions (direct):
Ca 0.2500 0.2500 0.2500  4 Nb 3.24, 4 Ag 3.24
Ca 0.7500 0.7500 0.7500  4 Nb 3.24, 4 Ag 3.24
Nb 0.0000 0.0000 0.0000  8 Ca 3.24
Ag 0.5000 0.5000 0.5000  8 Ca 3.24

---

13.
First-principles (PBE) data for a geometry-optimized CaNbAg structure, as listed in Alexandria.

Output
The offset from the most stable computed form comes out at 615 meV per atom. As for the mass density: 5952 kg/m³.

Unit cell a=4.0417 b=4.0417 c=8.2262 alpha=90.00 beta=90.00 gamma=90.00
Last column: nearest neighbours and their distance in Å.
Positions (direct):
Ca 0.2500 0.7500 0.0000  4 Ca 2.86, 4 Ag 2.99
Ca 0.7500 0.2500 0.0000  4 Ca 2.86, 4 Ag 2.99
Nb 0.2500 0.2500 0.4106  1 Ag 2.64
Nb 0.7500 0.7500 0.5894  1 Ag 2.64
Ag 0.2500 0.2500 0.7318  1 Nb 2.64
Ag 0.7500 0.7500 0.2682  1 Nb 2.64

---

14.
First-principles (PBE) data for a geometry-optimized CaNbAg structure, as listed in Alexandria.

Output
The offset from the most stable computed form comes out at 199 meV per atom. As for the mass density: 5757 kg/m³.

Unit cell a=5.8133 b=5.8133 c=5.2950 alpha=116.60 beta=116.60 gamma=89.43
Last column: nearest neighbours and their distance in Å.
Positions (direct):
Ca 0.2459 0.2459 0.2504  6 Ag 3.15-3.42, 2 Ca 3.16-3.26, 6 Nb 3.31-3.35
Ca 0.7541 0.7541 0.7496  6 Ag 3.15-3.42, 2 Ca 3.16-3.26, 6 Nb 3.31-3.35
Nb 0.3611 0.6389 0.0000  1 Nb 2.27
Nb 0.6389 0.3611 0.0000  1 Nb 2.27
Ag 0.1710 0.8290 0.5000  1 Ag 2.80, 2 Nb 3.07
Ag 0.8290 0.1710 0.5000  1 Ag 2.80, 2 Nb 3.07

---

15.
First-principles (PBE) data for a geometry-optimized CaNbAg structure, as listed in Alexandria.

Output
The offset from the most stable computed form comes out at 125 meV per atom. As for the mass density: 5748 kg/m³.

Unit cell a=5.1520 b=6.0310 c=6.0310 alpha=132.04 beta=90.00 gamma=90.00
Last column: nearest neighbours and their distance in Å.
Positions (direct):
Ca 0.0000 0.0000 0.0000  4 Ag 3.07-3.31, 2 Ca 3.36
Ca 0.5000 0.4393 0.4393  6 Nb 3.18-3.57, 4 Ag 3.32, 2 Ca 3.36
Nb 0.5000 0.1018 0.6779  2 Nb 2.59
Nb 0.5000 0.6779 0.1018  2 Nb 2.59
Ag 0.0000 0.3476 0.7172  2 Ag 2.84, 4 Nb 2.90-3.13, 1 Ca 3.07
Ag 0.0000 0.7172 0.3476  2 Ag 2.84, 4 Nb 2.90-3.13, 1 Ca 3.07

---

16.
First-principles (PBE) data for a geometry-optimized CaNbAg2 structure, as listed in Alexandria.

Output
The offset from the most stable computed form comes out at 292 meV per atom. As for the mass density: 6144 kg/m³.

Unit cell a=6.3412 b=6.3412 c=6.3412 alpha=103.37 beta=103.37 gamma=122.53
Last column: nearest neighbours and their distance in Å.
Positions (direct):
Ca 0.0000 0.0000 0.0000  4 Ag 3.01, 2 Nb 3.05
Ca 0.7500 0.2500 0.5000  4 Ag 3.01, 2 Nb 3.05
Nb 0.2500 0.7500 0.5000  4 Ag 2.76, 2 Ca 3.05
Nb 0.5000 0.5000 0.0000  4 Ag 2.76, 2 Ca 3.05
Ag 0.1479 0.6250 0.0229  2 Nb 2.76, 2 Ca 3.01, 2 Ag 3.07
Ag 0.3750 0.3979 0.5229  2 Nb 2.76, 2 Ca 3.01, 2 Ag 3.07
Ag 0.6021 0.1250 0.9771  2 Nb 2.76, 2 Ca 3.01, 2 Ag 3.07
Ag 0.8750 0.8521 0.4771  2 Nb 2.76, 2 Ca 3.01, 2 Ag 3.07

---

17.
First-principles (PBE) data for a geometry-optimized CaNb3Ag structure, as listed in Alexandria.

Output
The offset from the most stable computed form comes out at 0 meV per atom. As for the mass density: 5490 kg/m³.

Unit cell a=5.0535 b=5.0535 c=5.0535 alpha=90.00 beta=90.00 gamma=90.00
Last column: nearest neighbours and their distance in Å.
Positions (direct):
Ca 0.0000 0.0000 0.0000  12 Nb 3.57
Nb 0.0000 0.5000 0.5000  2 Ag 2.53
Nb 0.5000 0.0000 0.5000  2 Ag 2.53
Nb 0.5000 0.5000 0.0000  2 Ag 2.53
Ag 0.5000 0.5000 0.5000  6 Nb 2.53

---

18.
First-principles (PBE) data for a geometry-optimized CaNbAg structure, as listed in Alexandria.

Output
The offset from the most stable computed form comes out at 22 meV per atom. As for the mass density: 5974 kg/m³.

Unit cell a=3.2225 b=4.7680 c=8.7282 alpha=90.00 beta=93.25 gamma=90.00
Last column: nearest neighbours and their distance in Å.
Positions (direct):
Ca 0.0272 0.2500 0.2194  6 Ag 3.01-3.27, 4 Nb 3.20-3.32, 2 Ca 3.22
Ca 0.9728 0.7500 0.7806  6 Ag 3.01-3.27, 4 Nb 3.20-3.32, 2 Ca 3.22
Nb 0.3884 0.7500 0.4561  2 Nb 2.59
Nb 0.6116 0.2500 0.5439  2 Nb 2.59
Ag 0.4754 0.2500 0.8930  6 Ca 3.01-3.27, 4 Ag 3.03-3.22, 1 Nb 3.10
Ag 0.5246 0.7500 0.1070  6 Ca 3.01-3.27, 4 Ag 3.03-3.22, 1 Nb 3.10

---

19.
First-principles (PBE) data for a geometry-optimized CaNbAg2 structure, as listed in Alexandria.

Output
The offset from the most stable computed form comes out at 0 meV per atom. As for the mass density: 6829 kg/m³.

Unit cell a=4.9312 b=4.9312 c=4.9312 alpha=60.00 beta=60.00 gamma=60.00
Last column: nearest neighbours and their distance in Å.
Positions (direct):
Ca 0.0000 0.0000 0.0000  8 Ag 3.02
Nb 0.5000 0.5000 0.5000  8 Ag 3.02
Ag 0.2500 0.2500 0.2500  4 Nb 3.02, 4 Ca 3.02
Ag 0.7500 0.7500 0.7500  4 Nb 3.02, 4 Ca 3.02

---

20.
First-principles (PBE) data for a geometry-optimized CaNbAg structure, as listed in Alexandria.

Output
The offset from the most stable computed form comes out at 74 meV per atom. As for the mass density: 5977 kg/m³.

Unit cell a=8.1695 b=3.1272 c=10.4772 alpha=90.00 beta=90.00 gamma=90.00
Last column: nearest neighbours and their distance in Å.
Positions (direct):
Ca 0.1669 0.2500 0.0998  5 Ag 3.07-3.15, 2 Ca 3.13, 4 Nb 3.20-3.42
Ca 0.3331 0.7500 0.5998  5 Ag 3.07-3.15, 2 Ca 3.13, 4 Nb 3.20-3.42
Ca 0.6669 0.2500 0.4002  5 Ag 3.07-3.15, 2 Ca 3.13, 4 Nb 3.20-3.42
Ca 0.8331 0.7500 0.9002  5 Ag 3.07-3.15, 2 Ca 3.13, 4 Nb 3.20-3.42
Nb 0.0586 0.2500 0.4038  2 Nb 2.73
Nb 0.4414 0.7500 0.9038  2 Nb 2.73
Nb 0.5586 0.2500 0.0962  2 Nb 2.73
Nb 0.9414 0.7500 0.5962  2 Nb 2.73
Ag 0.1444 0.2500 0.8039  5 Ca 3.07-3.15, 4 Nb 3.07-3.15, 2 Ag 3.13
Ag 0.3556 0.7500 0.3039  5 Ca 3.07-3.15, 4 Nb 3.07-3.15, 2 Ag 3.13
Ag 0.6444 0.2500 0.6961  5 Ca 3.07-3.15, 4 Nb 3.07-3.15, 2 Ag 3.13
Ag 0.8556 0.7500 0.1961  5 Ca 3.07-3.15, 4 Nb 3.07-3.15, 2 Ag 3.13